(1)
This record from Alexandria describes an optimized crystal structure of Zn2Bi2As. The functional is PBE-GGA.

Unit cell a=8.656 b=8.656 c=3.350 alpha=90.00 beta=90.00 gamma=90.00
Fractional coordinates of all 10 atoms:
As 0.000 0.000 0.000
As 0.500 0.500 0.000
Zn 0.899 0.399 0.500
Zn 0.399 0.101 0.500
Zn 0.101 0.601 0.500
Zn 0.601 0.899 0.500
Bi 0.207 0.293 0.000
Bi 0.793 0.707 0.000
Bi 0.293 0.793 0.000
Bi 0.707 0.207 0.000

Calculated values
Formation enthalpy at 0 K (meV per atom): 246
E_tot (eV per atom): -2.746
Energy relative to the lowest polymorph listed for this composition (eV per atom): 0.0431
Theoretical density (g/cm³): 8.25

(2)
This record from Alexandria describes an optimized crystal structure of Zn2BiAs2. The functional is PBE-GGA.

Unit cell a=8.057 b=8.057 c=3.281 alpha=90.00 beta=90.00 gamma=90.00
Fractional coordinates of all 10 atoms:
Zn 0.377 0.123 0.500
Zn 0.623 0.877 0.500
Zn 0.123 0.623 0.500
Zn 0.877 0.377 0.500
Bi 0.500 0.500 0.000
Bi 0.000 0.000 0.000
As 0.823 0.677 0.000
As 0.177 0.323 0.000
As 0.323 0.823 0.000
As 0.677 0.177 0.000

Calculated values
Formation enthalpy at 0 K (meV per atom): 172
E_tot (eV per atom): -2.974
Energy relative to the lowest polymorph listed for this composition (eV per atom): 0.1000
Theoretical density (g/cm³): 7.63

(3)
This record from Alexandria describes an optimized crystal structure of Zn2BiAs2. The functional is PBE-GGA.

Unit cell a=3.933 b=3.933 c=7.429 alpha=74.65 beta=74.65 gamma=90.00
Fractional coordinates of all 5 atoms:
Bi 0.000 0.000 0.000
As 0.625 0.625 0.750
As 0.375 0.375 0.250
Zn 0.250 0.750 0.500
Zn 0.750 0.250 0.500

Calculated values
Formation enthalpy at 0 K (meV per atom): 72
E_tot (eV per atom): -3.074
Energy relative to the lowest polymorph listed for this composition (eV per atom): 0.0000
Theoretical density (g/cm³): 7.63

(4)
This record from Alexandria describes an optimized crystal structure of ZnBi2As. The functional is PBE-GGA.

Unit cell a=5.203 b=5.203 c=5.203 alpha=60.00 beta=60.00 gamma=60.00
Fractional coordinates of all 4 atoms:
As 0.500 0.500 0.500
Bi 0.250 0.250 0.250
Bi 0.750 0.750 0.750
Zn 0.000 0.000 0.000

Calculated values
Formation enthalpy at 0 K (meV per atom): 231
E_tot (eV per atom): -3.191
Energy relative to the lowest polymorph listed for this composition (eV per atom): 0.0337
Theoretical density (g/cm³): 9.31

(5)
This record from Alexandria describes an optimized crystal structure of ZnBi2As. The functional is PBE-GGA.

Unit cell a=6.417 b=6.417 c=8.050 alpha=66.51 beta=66.51 gamma=90.00
Fractional coordinates of all 8 atoms:
Bi 0.611 0.125 0.250
Bi 0.375 0.389 0.750
Bi 0.875 0.861 0.750
Bi 0.139 0.625 0.250
As 0.000 0.000 0.000
As 0.750 0.250 0.500
Zn 0.250 0.750 0.500
Zn 0.500 0.500 0.000

Calculated values
Formation enthalpy at 0 K (meV per atom): 197
E_tot (eV per atom): -3.224
Energy relative to the lowest polymorph listed for this composition (eV per atom): 0.0000
Theoretical density (g/cm³): 6.77

(6)
This record from Alexandria describes an optimized crystal structure of ZrBiAs2. The functional is PBE-GGA.

Unit cell a=6.454 b=6.454 c=7.701 alpha=65.23 beta=65.23 gamma=90.00
Fractional coordinates of all 8 atoms:
As 0.875 0.839 0.750
As 0.161 0.625 0.250
As 0.589 0.125 0.250
As 0.375 0.411 0.750
Bi 0.750 0.250 0.500
Bi 0.000 0.000 0.000
Zr 0.500 0.500 0.000
Zr 0.250 0.750 0.500

Calculated values
Formation enthalpy at 0 K (meV per atom): -73
E_tot (eV per atom): -5.505
Theoretical density (g/cm³): 5.78

Sequential total moment output: 0.0; 0.0; 0.0; 0.0; 0.0; 0.0 μB/f.u.